Si2AsCl after structural relaxation, computed with PBE-GGA.

Summary:
Magnetization: 0.000 μB/atom
Polymorph energy (0 for the lowest one): 329.3 meV per atom
Raw total energy: -16.23 eV for the cell shown

Unit cell a=4.4408 b=4.2792 c=4.5837 alpha=68.55 beta=90.00 gamma=90.00
Last column: nearest neighbours and their distance in Å.
Positions (direct):
1 Si 0.0000 0.4347 0.4316  2 As 2.59, 3 Si 2.60-2.76
2 Si 0.0000 0.0653 0.0684  2 As 2.59, 3 Si 2.60-2.76
3 Cl 0.5000 0.7500 0.7500  2 As 2.50
4 As 0.5000 0.2500 0.2500  2 Cl 2.50, 4 Si 2.59


CeSi4Ni6 after structural relaxation, computed with PBE-GGA.

Summary:
Magnetization: 0.033 μB/atom
Raw total energy: -69.52 eV for the cell shown

Unit cell a=3.7569 b=6.6251 c=6.6251 alpha=120.00 beta=90.00 gamma=90.00
Last column: nearest neighbours and their distance in Å.
Positions (direct):
1 Si 0.0000 0.3333 0.6667  9 Ni 2.32-2.39
2 Si 0.5000 0.3994 0.1997  6 Ni 2.32-2.42
3 Si 0.5000 0.8003 0.1997  6 Ni 2.32-2.42
4 Si 0.5000 0.8003 0.6006  6 Ni 2.32-2.42
5 Ni 0.5000 0.2042 0.7958  4 Si 2.32-2.39, 2 Ni 2.57
6 Ni 0.0000 0.9293 0.4646  5 Si 2.32-2.42
7 Ni 0.5000 0.5916 0.7958  4 Si 2.32-2.39, 2 Ni 2.57
8 Ni 0.0000 0.5354 0.4646  5 Si 2.32-2.42
9 Ni 0.0000 0.5354 0.0707  5 Si 2.32-2.42
10 Ni 0.5000 0.2042 0.4084  4 Si 2.32-2.39, 2 Ni 2.57
11 Ce 0.0000 0.0000 0.0000  6 Si 2.96, 6 Ni 3.00


Tb4Dy4Tl after structural relaxation, computed with PBE-GGA.

Summary:
Magnetization: 0.000 μB/atom
Formation energy from the elements: -39 meV per atom
Raw total energy: -39.65 eV for the cell shown

Unit cell a=4.8936 b=7.9009 c=7.9009 alpha=84.50 beta=71.96 gamma=71.96
Last column: nearest neighbours and their distance in Å.
Positions (direct):
1 Dy 0.0000 0.3357 0.6642  5 Dy 3.48-3.49, 6 Tb 3.52-3.59, 1 Tl 3.57
2 Dy 0.6642 0.3358 0.3357  5 Dy 3.48-3.49, 6 Tb 3.52-3.59, 1 Tl 3.57
3 Dy 0.3358 0.6642 0.6643  5 Dy 3.48-3.49, 6 Tb 3.52-3.59, 1 Tl 3.57
4 Dy 0.0000 0.6643 0.3358  5 Dy 3.48-3.49, 6 Tb 3.52-3.59, 1 Tl 3.57
5 Tb 0.3379 0.0000 0.3242  4 Tb 3.44-3.60, 2 Tl 3.45, 6 Dy 3.52-3.59
6 Tb 0.3379 0.3242 0.0000  4 Tb 3.44-3.60, 2 Tl 3.45, 6 Dy 3.52-3.59
7 Tb 0.6621 0.6758 0.0000  4 Tb 3.44-3.60, 2 Tl 3.45, 6 Dy 3.52-3.59
8 Tb 0.6621 0.0000 0.6758  4 Tb 3.44-3.60, 2 Tl 3.45, 6 Dy 3.52-3.59
9 Tl 0.0000 0.0000 0.0000  8 Tb 3.45, 4 Dy 3.57


Al2GaI8 after structural relaxation, computed with PBE-GGA.

Summary:
Magnetization: 0.000 μB/atom
Polymorph energy (0 for the lowest one): 0.0 meV per atom
Raw total energy: -29.00 eV for the cell shown

Unit cell a=7.0246 b=8.8247 c=8.8247 alpha=77.95 beta=85.79 gamma=85.79
Last column: nearest neighbours and their distance in Å.
Positions (direct):
1 Ga 0.0000 0.0000 0.0000  6 I 3.01-3.09
2 I 0.2281 0.9172 0.2851  1 Al 2.60
3 I 0.7708 0.6268 0.6268  1 Al 2.52
4 I 0.2814 0.8127 0.8127  1 Al 2.59
5 I 0.2292 0.3732 0.3732  1 Al 2.52
6 I 0.7719 0.0828 0.7149  1 Al 2.60
7 I 0.7719 0.7149 0.0828  1 Al 2.60
8 I 0.2281 0.2851 0.9172  1 Al 2.60
9 I 0.7186 0.1873 0.1873  1 Al 2.59
10 Al 0.6507 0.8055 0.8055  4 I 2.52-2.60
11 Al 0.3493 0.1945 0.1945  4 I 2.52-2.60


Zn4In2O7 after structural relaxation, computed with PBE-GGA.

Summary:
Magnetization: 0.000 μB/atom
Raw total energy: -127.60 eV for the cell shown

Unit cell a=3.4338 b=3.4338 c=33.6424 alpha=90.00 beta=90.00 gamma=120.00
Last column: nearest neighbours and their distance in Å.
Positions (direct):
1 O 0.0000 0.0000 0.6074  4 Zn 1.99-2.06
2 O 0.3333 0.6667 0.4687  1 Zn 1.98
3 O 0.6667 0.3333 0.9687  1 Zn 1.98
4 O 0.0000 0.0000 0.1074  4 Zn 1.99-2.06
5 O 0.0000 0.0000 0.8926  4 Zn 1.99-2.06
6 O 0.3333 0.6667 0.0313  1 Zn 1.98
7 O 0.0000 0.0000 0.2500  3 In 1.98
8 O 0.6667 0.3333 0.5313  1 Zn 1.98
9 O 0.0000 0.0000 0.3926  4 Zn 1.99-2.06
10 O 0.3333 0.6667 0.1839  3 Zn 2.07, 1 In 2.22
11 O 0.0000 0.0000 0.7500  3 In 1.98
12 O 0.6667 0.3333 0.6839  3 Zn 2.07, 1 In 2.22
13 O 0.3333 0.6667 0.3161  3 Zn 2.07, 1 In 2.22
14 O 0.6667 0.3333 0.8161  3 Zn 2.07, 1 In 2.22
15 In 0.3333 0.6667 0.2500  3 O 1.98
16 In 0.0000 0.0000 0.0000  6 O 2.25
17 In 0.6667 0.3333 0.7500  3 O 1.98
18 In 0.0000 0.0000 0.5000  6 O 2.25
19 Zn 0.0000 0.0000 0.8334  4 O 1.99-2.07
20 Zn 0.0000 0.0000 0.3334  4 O 1.99-2.07
21 Zn 0.0000 0.0000 0.6666  4 O 1.99-2.07
22 Zn 0.6667 0.3333 0.9098  4 O 1.98-2.06
23 Zn 0.3333 0.6667 0.0902  4 O 1.98-2.06
24 Zn 0.6667 0.3333 0.5903  4 O 1.98-2.06
25 Zn 0.3333 0.6667 0.4098  4 O 1.98-2.06
26 Zn 0.0000 0.0000 0.1666  4 O 1.99-2.07